*1*
VASP calculation (PBE-GGA) on NaGaH after structural relaxation.

Output
DOS at the Fermi energy ... 0.229 states/eV per atom
Density ... 2.327 Mg/m³
V ... 22.294 A^3/atom

Cell and atoms, written as CIF:
```
data_NaGaH
_chemical_formula_sum 'Na2 Ga2 H2'
_symmetry_space_group_name_H-M 'P 1'
_symmetry_Int_Tables_number 1
_cell_length_a 3.4039
_cell_length_b 3.4756
_cell_length_c 11.4320
_cell_angle_alpha 83.88
_cell_angle_beta 84.73
_cell_angle_gamma 86.82
loop_
_symmetry_equiv_pos_as_xyz
'x,y,z'
loop_
_atom_site_label
_atom_site_type_symbol
_atom_site_fract_x
_atom_site_fract_y
_atom_site_fract_z
Na1 Na 0.0000 0.0000 0.0000
Na2 Na 0.3653 0.3442 0.4689
Ga1 Ga 0.4507 0.4436 0.1718
Ga2 Ga 0.9146 0.9017 0.2972
H1 H 0.6674 0.6471 0.7676
H2 H 0.7069 0.6862 0.7004
```

=====

*2*
VASP calculation (PBE-GGA) on NaGaH after structural relaxation.

Output
DOS at the Fermi energy ... 0.100 states/eV per atom
Density ... 2.841 Mg/m³
V ... 18.257 A^3/atom

Cell and atoms, written as CIF:
```
data_NaGaH
_chemical_formula_sum 'Na2 Ga2 H2'
_symmetry_space_group_name_H-M 'P 1'
_symmetry_Int_Tables_number 1
_cell_length_a 5.7105
_cell_length_b 5.7105
_cell_length_c 4.3798
_cell_angle_alpha 112.41
_cell_angle_beta 112.41
_cell_angle_gamma 58.50
loop_
_symmetry_equiv_pos_as_xyz
'x,y,z'
loop_
_atom_site_label
_atom_site_type_symbol
_atom_site_fract_x
_atom_site_fract_y
_atom_site_fract_z
Na1 Na 0.1462 0.1462 0.3958
Na2 Na 0.8538 0.8538 0.6042
Ga1 Ga 0.4458 0.4458 0.1961
Ga2 Ga 0.5542 0.5542 0.8039
H1 H 0.2647 0.2647 0.0157
H2 H 0.7353 0.7353 0.9843
```

=====

*3*
VASP calculation (PBE-GGA) on NaGaH after structural relaxation.

Output
DOS at the Fermi energy ... 0.094 states/eV per atom
Density ... 2.719 Mg/m³
V ... 19.078 A^3/atom

Cell and atoms, written as CIF:
```
data_NaGaH
_chemical_formula_sum 'Na4 Ga4 H4'
_symmetry_space_group_name_H-M 'P 1'
_symmetry_Int_Tables_number 1
_cell_length_a 6.2123
_cell_length_b 4.4104
_cell_length_c 8.3556
_cell_angle_alpha 90.00
_cell_angle_beta 90.00
_cell_angle_gamma 90.00
loop_
_symmetry_equiv_pos_as_xyz
'x,y,z'
loop_
_atom_site_label
_atom_site_type_symbol
_atom_site_fract_x
_atom_site_fract_y
_atom_site_fract_z
Na1 Na 0.0981 0.2500 0.1567
Na2 Na 0.4019 0.7500 0.6567
Na3 Na 0.5981 0.2500 0.3433
Na4 Na 0.9019 0.7500 0.8433
Ga1 Ga 0.0610 0.2500 0.5425
Ga2 Ga 0.4390 0.7500 0.0425
Ga3 Ga 0.5610 0.2500 0.9575
Ga4 Ga 0.9390 0.7500 0.4575
H1 H 0.1693 0.7500 0.0323
H2 H 0.3308 0.2500 0.5323
H3 H 0.6692 0.7500 0.4677
H4 H 0.8308 0.2500 0.9677
```

=====

Which is the most stable structure? *3* is the most stable.

=====

*1*
VASP calculation (PBE-GGA) on NaGa2H2 after structural relaxation.

Output
DOS at the Fermi energy ... 0.160 states/eV per atom
Density ... 3.986 Mg/m³
V ... 13.700 A^3/atom

Cell and atoms, written as CIF:
```
data_NaGa2H2
_chemical_formula_sum 'Na2 Ga4 H4'
_symmetry_space_group_name_H-M 'P 1'
_symmetry_Int_Tables_number 1
_cell_length_a 5.8493
_cell_length_b 5.8493
_cell_length_c 4.0043
_cell_angle_alpha 90.00
_cell_angle_beta 90.00
_cell_angle_gamma 90.00
loop_
_symmetry_equiv_pos_as_xyz
'x,y,z'
loop_
_atom_site_label
_atom_site_type_symbol
_atom_site_fract_x
_atom_site_fract_y
_atom_site_fract_z
Na1 Na 0.0000 0.0000 0.0000
Na2 Na 0.5000 0.5000 0.0000
Ga1 Ga 0.1610 0.3390 0.5000
Ga2 Ga 0.3390 0.8390 0.5000
Ga3 Ga 0.6610 0.1610 0.5000
Ga4 Ga 0.8390 0.6610 0.5000
H1 H 0.1643 0.3357 0.0000
H2 H 0.3357 0.8357 0.0000
H3 H 0.6643 0.1643 0.0000
H4 H 0.8357 0.6643 0.0000
```

=====

*2*
VASP calculation (PBE-GGA) on NaGa2H2 after structural relaxation.

Output
DOS at the Fermi energy ... 0.291 states/eV per atom
Density ... 3.609 Mg/m³
V ... 15.132 A^3/atom

Cell and atoms, written as CIF:
```
data_NaGa2H2
_chemical_formula_sum 'Na1 Ga2 H2'
_symmetry_space_group_name_H-M 'P 1'
_symmetry_Int_Tables_number 1
_cell_length_a 6.1898
_cell_length_b 6.1898
_cell_length_c 6.1898
_cell_angle_alpha 145.52
_cell_angle_beta 145.52
_cell_angle_gamma 49.56
loop_
_symmetry_equiv_pos_as_xyz
'x,y,z'
loop_
_atom_site_label
_atom_site_type_symbol
_atom_site_fract_x
_atom_site_fract_y
_atom_site_fract_z
Na1 Na 0.0000 0.0000 0.0000
Ga1 Ga 0.2500 0.7500 0.5000
Ga2 Ga 0.7500 0.2500 0.5000
H1 H 0.3976 0.3976 0.0000
H2 H 0.6024 0.6024 0.0000
```

=====

Which is the most stable structure? *1* is the most stable.

=====

*1*
VASP calculation (PBE-GGA) on Na3GaH6 after structural relaxation.

Output
DOS at the Fermi energy ... 0.000 states/eV per atom
Density ... 1.655 Mg/m³
V ... 14.523 A^3/atom

Cell and atoms, written as CIF:
```
data_Na3GaH6
_chemical_formula_sum 'Na6 Ga2 H12'
_symmetry_space_group_name_H-M 'P 1'
_symmetry_Int_Tables_number 1
_cell_length_a 6.9938
_cell_length_b 6.9938
_cell_length_c 5.9811
_cell_angle_alpha 90.00
_cell_angle_beta 90.00
_cell_angle_gamma 96.87
loop_
_symmetry_equiv_pos_as_xyz
'x,y,z'
loop_
_atom_site_label
_atom_site_type_symbol
_atom_site_fract_x
_atom_site_fract_y
_atom_site_fract_z
Na1 Na 0.0654 0.9346 0.5000
Na2 Na 0.1817 0.3859 0.4711
Na3 Na 0.3859 0.1817 0.9711
Na4 Na 0.6141 0.8183 0.4711
Na5 Na 0.8183 0.6141 0.9711
Na6 Na 0.9346 0.0654 0.0000
Ga1 Ga 0.3356 0.6644 0.9221
Ga2 Ga 0.6644 0.3356 0.4221
H1 H 0.1483 0.5678 0.0494
H2 H 0.1519 0.1797 0.7411
H3 H 0.1797 0.1519 0.2411
H4 H 0.2834 0.7166 0.6654
H5 H 0.4322 0.8517 0.0494
H6 H 0.4884 0.5116 0.9001
H7 H 0.5116 0.4884 0.4001
H8 H 0.5678 0.1483 0.5494
H9 H 0.7166 0.2834 0.1654
H10 H 0.8203 0.8481 0.7411
H11 H 0.8481 0.8203 0.2411
H12 H 0.8517 0.4322 0.5494
```

=====

*2*
VASP calculation (PBE-GGA) on Na3GaH6 after structural relaxation.

Output
Density ... 2.112 Mg/m³
V ... 11.378 A^3/atom

Cell and atoms, written as CIF:
```
data_Na3GaH6
_chemical_formula_sum 'Na6 Ga2 H12'
_symmetry_space_group_name_H-M 'P 1'
_symmetry_Int_Tables_number 1
_cell_length_a 5.3113
_cell_length_b 5.5673
_cell_length_c 9.3390
_cell_angle_alpha 90.00
_cell_angle_beta 124.51
_cell_angle_gamma 90.00
loop_
_symmetry_equiv_pos_as_xyz
'x,y,z'
loop_
_atom_site_label
_atom_site_type_symbol
_atom_site_fract_x
_atom_site_fract_y
_atom_site_fract_z
Na1 Na 0.0000 0.0000 0.0000
Na2 Na 0.0000 0.5000 0.5000
Na3 Na 0.2586 0.0527 0.7465
Na4 Na 0.2586 0.4473 0.2465
Na5 Na 0.7414 0.5527 0.7535
Na6 Na 0.7414 0.9473 0.2535
Ga1 Ga 0.5000 0.0000 0.5000
Ga2 Ga 0.5000 0.5000 0.0000
H1 H 0.1774 0.0509 0.2822
H2 H 0.1774 0.4491 0.7822
H3 H 0.2693 0.6676 0.0446
H4 H 0.2693 0.8324 0.5446
H5 H 0.4077 0.2291 0.0680
H6 H 0.4077 0.2709 0.5680
H7 H 0.5923 0.7291 0.4320
H8 H 0.5923 0.7709 0.9320
H9 H 0.7307 0.1676 0.4554
H10 H 0.7307 0.3324 0.9554
H11 H 0.8226 0.5509 0.2178
H12 H 0.8226 0.9491 0.7178
```

=====

Which is the most stable structure? *1* is the most stable.

=====

*1*
VASP calculation (PBE-GGA) on Na2GaH after structural relaxation.

Output
DOS at the Fermi energy ... 0.518 states/eV per atom
Density ... 2.469 Mg/m³
V ... 19.624 A^3/atom

Cell and atoms, written as CIF:
```
data_Na2GaH
_chemical_formula_sum 'Na2 Ga1 H1'
_symmetry_space_group_name_H-M 'P 1'
_symmetry_Int_Tables_number 1
_cell_length_a 8.9159
_cell_length_b 8.9159
_cell_length_c 8.9159
_cell_angle_alpha 20.83
_cell_angle_beta 20.83
_cell_angle_gamma 20.83
loop_
_symmetry_equiv_pos_as_xyz
'x,y,z'
loop_
_atom_site_label
_atom_site_type_symbol
_atom_site_fract_x
_atom_site_fract_y
_atom_site_fract_z
Na1 Na 0.1112 0.1112 0.1112
Na2 Na 0.8888 0.8888 0.8888
Ga1 Ga 0.0000 0.0000 0.0000
H1 H 0.5000 0.5000 0.5000
```

=====

*2*
VASP calculation (PBE-GGA) on Na2GaH after structural relaxation.

Output
DOS at the Fermi energy ... 0.626 states/eV per atom
Density ... 2.250 Mg/m³
V ... 21.530 A^3/atom

Cell and atoms, written as CIF:
```
data_Na2GaH
_chemical_formula_sum 'Na2 Ga1 H1'
_symmetry_space_group_name_H-M 'P 1'
_symmetry_Int_Tables_number 1
_cell_length_a 4.9569
_cell_length_b 4.9569
_cell_length_c 4.9569
_cell_angle_alpha 60.00
_cell_angle_beta 60.00
_cell_angle_gamma 60.00
loop_
_symmetry_equiv_pos_as_xyz
'x,y,z'
loop_
_atom_site_label
_atom_site_type_symbol
_atom_site_fract_x
_atom_site_fract_y
_atom_site_fract_z
Na1 Na 0.2500 0.2500 0.2500
Na2 Na 0.7500 0.7500 0.7500
Ga1 Ga 0.0000 0.0000 0.0000
H1 H 0.5000 0.5000 0.5000
```

=====

Which is the most stable structure? *1* is the most stable.

=====

*1*
VASP calculation (PBE-GGA) on Na2TlGaH after structural relaxation.

Output
DOS at the Fermi energy ... 0.537 states/eV per atom
Density ... 3.776 Mg/m³
V ... 28.240 A^3/atom

Cell and atoms, written as CIF:
```
data_Na2TlGaH
_chemical_formula_sum 'Na2 Tl1 Ga1 H1'
_symmetry_space_group_name_H-M 'P 1'
_symmetry_Int_Tables_number 1
_cell_length_a 5.9736
_cell_length_b 5.9736
_cell_length_c 3.9570
_cell_angle_alpha 90.00
_cell_angle_beta 90.00
_cell_angle_gamma 90.00
loop_
_symmetry_equiv_pos_as_xyz
'x,y,z'
loop_
_atom_site_label
_atom_site_type_symbol
_atom_site_fract_x
_atom_site_fract_y
_atom_site_fract_z
Na1 Na 0.0000 0.5000 0.0000
Na2 Na 0.5000 0.0000 0.0000
Tl1 Tl 0.0000 0.0000 0.0000
Ga1 Ga 0.5000 0.5000 0.5000
H1 H 0.0000 0.0000 0.5000
```

=====

*2*
VASP calculation (PBE-GGA) on Na2TlGaH after structural relaxation.

Output
DOS at the Fermi energy ... 0.433 states/eV per atom
Density ... 5.251 Mg/m³
V ... 20.309 A^3/atom

Cell and atoms, written as CIF:
```
data_Na2TlGaH
_chemical_formula_sum 'Na2 Tl1 Ga1 H1'
_symmetry_space_group_name_H-M 'P 1'
_symmetry_Int_Tables_number 1
_cell_length_a 4.7159
_cell_length_b 4.7159
_cell_length_c 4.5660
_cell_angle_alpha 90.00
_cell_angle_beta 90.00
_cell_angle_gamma 90.00
loop_
_symmetry_equiv_pos_as_xyz
'x,y,z'
loop_
_atom_site_label
_atom_site_type_symbol
_atom_site_fract_x
_atom_site_fract_y
_atom_site_fract_z
Na1 Na 0.0000 0.5000 0.0000
Na2 Na 0.5000 0.0000 0.0000
Tl1 Tl 0.0000 0.0000 0.5000
Ga1 Ga 0.5000 0.5000 0.5000
H1 H 0.5000 0.5000 0.0000
```

=====

Which is the most stable structure? *2* is the most stable.

=====

*1*
VASP calculation (PBE-GGA) on NbGaH2 after structural relaxation.

Output
DOS at the Fermi energy ... 0.542 states/eV per atom
Density ... 6.183 Mg/m³
V ... 11.055 A^3/atom

Cell and atoms, written as CIF:
```
data_NbGaH2
_chemical_formula_sum 'Nb1 Ga1 H2'
_symmetry_space_group_name_H-M 'P 1'
_symmetry_Int_Tables_number 1
_cell_length_a 5.4373
_cell_length_b 5.4373
_cell_length_c 5.4373
_cell_angle_alpha 33.75
_cell_angle_beta 33.75
_cell_angle_gamma 33.75
loop_
_symmetry_equiv_pos_as_xyz
'x,y,z'
loop_
_atom_site_label
_atom_site_type_symbol
_atom_site_fract_x
_atom_site_fract_y
_atom_site_fract_z
Nb1 Nb 0.0000 0.0000 0.0000
Ga1 Ga 0.8176 0.8176 0.8176
H1 H 0.3664 0.3664 0.3664
H2 H 0.6123 0.6123 0.6123
```

=====

*2*
VASP calculation (PBE-GGA) on NbGaH2 after structural relaxation.

Output
DOS at the Fermi energy ... 0.064 states/eV per atom
Density ... 6.320 Mg/m³
V ... 10.815 A^3/atom

Cell and atoms, written as CIF:
```
data_NbGaH2
_chemical_formula_sum 'Nb2 Ga2 H4'
_symmetry_space_group_name_H-M 'P 1'
_symmetry_Int_Tables_number 1
_cell_length_a 6.5083
_cell_length_b 6.5083
_cell_length_c 6.5083
_cell_angle_alpha 145.84
_cell_angle_beta 145.84
_cell_angle_gamma 49.08
loop_
_symmetry_equiv_pos_as_xyz
'x,y,z'
loop_
_atom_site_label
_atom_site_type_symbol
_atom_site_fract_x
_atom_site_fract_y
_atom_site_fract_z
Nb1 Nb 0.0000 0.0000 0.0000
Nb2 Nb 0.7500 0.2500 0.5000
Ga1 Ga 0.2500 0.7500 0.5000
Ga2 Ga 0.5000 0.5000 0.0000
H1 H 0.0501 0.6250 0.9251
H2 H 0.3750 0.3001 0.4251
H3 H 0.6999 0.1250 0.0749
H4 H 0.8750 0.9499 0.5749
```

=====

Which is the most stable structure? *1* is the most stable.

=====

*1*
VASP calculation (PBE-GGA) on NbGa3H after structural relaxation.

Output
DOS at the Fermi energy ... 1.178 states/eV per atom
Density ... 3.726 Mg/m³
V ... 27.016 A^3/atom

Cell and atoms, written as CIF:
```
data_NbGa3H
_chemical_formula_sum 'Nb1 Ga3 H1'
_symmetry_space_group_name_H-M 'P 1'
_symmetry_Int_Tables_number 1
_cell_length_a 5.1310
_cell_length_b 5.1310
_cell_length_c 5.1310
_cell_angle_alpha 90.00
_cell_angle_beta 90.00
_cell_angle_gamma 90.00
loop_
_symmetry_equiv_pos_as_xyz
'x,y,z'
loop_
_atom_site_label
_atom_site_type_symbol
_atom_site_fract_x
_atom_site_fract_y
_atom_site_fract_z
Nb1 Nb 0.0000 0.0000 0.0000
Ga1 Ga 0.0000 0.0000 0.5000
Ga2 Ga 0.0000 0.5000 0.0000
Ga3 Ga 0.5000 0.0000 0.0000
H1 H 0.5000 0.5000 0.5000
```

=====

*2*
VASP calculation (PBE-GGA) on NbGa3H after structural relaxation.

Output
DOS at the Fermi energy ... 0.767 states/eV per atom
Density ... 7.303 Mg/m³
V ... 13.782 A^3/atom

Cell and atoms, written as CIF:
```
data_NbGa3H
_chemical_formula_sum 'Nb1 Ga3 H1'
_symmetry_space_group_name_H-M 'P 1'
_symmetry_Int_Tables_number 1
_cell_length_a 4.0998
_cell_length_b 4.0998
_cell_length_c 4.0998
_cell_angle_alpha 90.00
_cell_angle_beta 90.00
_cell_angle_gamma 90.00
loop_
_symmetry_equiv_pos_as_xyz
'x,y,z'
loop_
_atom_site_label
_atom_site_type_symbol
_atom_site_fract_x
_atom_site_fract_y
_atom_site_fract_z
Nb1 Nb 0.0000 0.0000 0.0000
Ga1 Ga 0.0000 0.5000 0.5000
Ga2 Ga 0.5000 0.0000 0.5000
Ga3 Ga 0.5000 0.5000 0.0000
H1 H 0.5000 0.5000 0.5000
```

=====

Which is the most stable structure? *2* is the most stable.

=====

*1*
VASP calculation (PBE-GGA) on Nb2Ga2H after structural relaxation.

Output
DOS at the Fermi energy ... 0.776 states/eV per atom
Density ... 7.121 Mg/m³
V ... 15.216 A^3/atom

Cell and atoms, written as CIF:
```
data_Nb2Ga2H
_chemical_formula_sum 'Nb4 Ga4 H2'
_symmetry_space_group_name_H-M 'P 1'
_symmetry_Int_Tables_number 1
_cell_length_a 5.7965
_cell_length_b 5.7965
_cell_length_c 4.5287
_cell_angle_alpha 90.00
_cell_angle_beta 90.00
_cell_angle_gamma 90.00
loop_
_symmetry_equiv_pos_as_xyz
'x,y,z'
loop_
_atom_site_label
_atom_site_type_symbol
_atom_site_fract_x
_atom_site_fract_y
_atom_site_fract_z
Nb1 Nb 0.1612 0.3388 0.0000
Nb2 Nb 0.3388 0.8388 0.0000
Nb3 Nb 0.6612 0.1612 0.0000
Nb4 Nb 0.8388 0.6612 0.0000
Ga1 Ga 0.1569 0.6569 0.5000
Ga2 Ga 0.3431 0.1569 0.5000
Ga3 Ga 0.6569 0.8431 0.5000
Ga4 Ga 0.8431 0.3431 0.5000
H1 H 0.0000 0.0000 0.0000
H2 H 0.5000 0.5000 0.0000
```

=====

*2*
VASP calculation (PBE-GGA) on Nb2Ga2H after structural relaxation.

Output
DOS at the Fermi energy ... 0.367 states/eV per atom
Density ... 7.197 Mg/m³
V ... 15.055 A^3/atom

Cell and atoms, written as CIF:
```
data_Nb2Ga2H
_chemical_formula_sum 'Nb4 Ga4 H2'
_symmetry_space_group_name_H-M 'P 1'
_symmetry_Int_Tables_number 1
_cell_length_a 7.0946
_cell_length_b 7.0946
_cell_length_c 7.4088
_cell_angle_alpha 90.00
_cell_angle_beta 90.00
_cell_angle_gamma 156.19
loop_
_symmetry_equiv_pos_as_xyz
'x,y,z'
loop_
_atom_site_label
_atom_site_type_symbol
_atom_site_fract_x
_atom_site_fract_y
_atom_site_fract_z
Nb1 Nb 0.0397 0.9603 0.5000
Nb2 Nb 0.3666 0.6334 0.3264
Nb3 Nb 0.6334 0.3666 0.8264
Nb4 Nb 0.9603 0.0397 0.0000
Ga1 Ga 0.2817 0.7183 0.9774
Ga2 Ga 0.3969 0.6031 0.6915
Ga3 Ga 0.6031 0.3969 0.1915
Ga4 Ga 0.7183 0.2817 0.4774
H1 H 0.0464 0.9536 0.7691
H2 H 0.9536 0.0464 0.2691
```

=====

Which is the most stable structure? *2* is the most stable.